A relaxed structure of Pr4Dy2YMg. Source: the Alexandria database, functional PBE-GGA.

Properties
As for the crystal system: tetragonal. The value obtained for the density of states at the Fermi level is 10.40 states/eV/cell. For the energy of formation, the calculation gives 0.04 eV/atom.

```
Pr4Dy2YMg
1.0
5.824 0.000 0.000
0.000 5.824 0.000
0.000 0.000 7.795
Pr Dy Y Mg
4 2 1 1
Cartesian
0.000 2.912 1.858 Pr
0.000 2.912 5.937 Pr
2.912 0.000 1.858 Pr
2.912 0.000 5.937 Pr
0.000 0.000 0.000 Dy
2.912 2.912 3.897 Dy
0.000 0.000 3.897 Y
2.912 2.912 0.000 Mg
```

***

A relaxed structure of CaSm2InAu4. Source: the Alexandria database, functional PBE-GGA.

Properties
As for the crystal system: trigonal. The value obtained for the density of states at the Fermi level is 4.33 states/eV/cell. For the energy of formation, the calculation gives -0.76 eV/atom.

```
CaSm2InAu4
1.0
2.537 1.465 8.355
-2.537 1.465 8.355
0.000 -2.930 8.355
Ca Sm In Au
1 2 1 4
Cartesian
0.000 0.000 0.000 Ca
0.000 0.000 6.124 Sm
0.000 0.000 18.940 Sm
0.000 0.000 12.532 In
0.000 0.000 3.040 Au
0.000 0.000 9.322 Au
0.000 0.000 15.743 Au
0.000 0.000 22.024 Au
```

***

A relaxed structure of GdBeTe2. Source: the Alexandria database, functional PBE-GGA.

Properties
As for the crystal system: trigonal. The value obtained for the density of states at the Fermi level is 4.76 states/eV/cell. Its energy relative to the elements, uncorrected is -0.30 eV per formula unit.

```
GdBeTe2
1.0
1.896 1.095 9.033
-1.896 1.095 9.033
0.000 -2.190 9.033
Gd Be Te
1 1 2
Cartesian
0.000 0.000 0.000 Gd
0.000 0.000 13.549 Be
0.000 0.000 3.039 Te
0.000 0.000 24.059 Te
```

***

A relaxed structure of AcHo3Ag2. Source: the Alexandria database, functional PBE-GGA.

Properties
As for the crystal system: tetragonal. The value obtained for the density of states at the Fermi level is 5.47 states/eV/cell. For the energy of formation, the calculation gives -0.18 eV/atom.

```
AcHo3Ag2
1.0
3.665 0.000 0.000
0.000 3.665 0.000
0.000 0.000 12.631
Ac Ho Ag
1 3 2
Cartesian
0.000 0.000 0.000 Ac
1.832 1.832 2.763 Ho
1.832 1.832 6.316 Ho
1.832 1.832 9.868 Ho
0.000 0.000 4.505 Ag
0.000 0.000 8.126 Ag
```

***

- Which formula does entry 4 have?
  AcHo3Ag2

***

- What is the formula in the second record?
  CaSm2InAu4